# 1
A relaxed structure of Pr9Sm4In11, computed with GGA-PBE.

Lattice parameters (Å, degrees): 3.5934 14.1707 14.1707 99.66 90.00 90.00
Sites, in units of the cell vectors:
In 0.0000 0.6365 0.3635
In 0.0000 0.1693 0.8307
In 0.0000 0.9335 0.5800
In 0.0000 0.5800 0.9335
In 0.0000 0.7634 0.7634
In 0.0000 0.0665 0.4200
In 0.0000 0.8307 0.1693
In 0.0000 0.2366 0.2366
In 0.0000 0.3635 0.6365
In 0.0000 0.0000 0.0000
In 0.0000 0.4200 0.0665
Pr 0.5000 0.5000 0.5000
Pr 0.5000 0.1428 0.6240
Pr 0.5000 0.8572 0.3760
Pr 0.5000 0.0327 0.2081
Pr 0.5000 0.2081 0.0327
Pr 0.5000 0.9673 0.7919
Pr 0.5000 0.6240 0.1428
Pr 0.5000 0.7919 0.9673
Pr 0.5000 0.3760 0.8572
Sm 0.5000 0.5689 0.7382
Sm 0.5000 0.4311 0.2618
Sm 0.5000 0.2618 0.4311
Sm 0.5000 0.7382 0.5689

E	-4.248	eV per atom
calculated volume	711	Å³/cell
magnetic moment	0.00	μB/cell
SG	Cmmm

# 2
A relaxed structure of Pr3Sm2In4, computed with GGA-PBE.

Lattice parameters (Å, degrees): 5.4492 5.4490 10.4767 89.99 90.00 120.00
Sites, in units of the cell vectors:
Sm 0.3335 0.6671 0.2194
Sm 0.6665 0.3329 0.7806
In 0.9997 0.9995 0.6529
In 0.3332 0.6664 0.8996
In 0.6668 0.3336 0.1004
In 0.0003 0.0005 0.3471
Pr 0.0000 0.0000 0.0000
Pr 0.6668 0.3337 0.4221
Pr 0.3332 0.6663 0.5779

E	-4.271	eV per atom
calculated volume	269	Å³/cell
magnetic moment	0.00	μB/cell
SG	P-3m1

# 3
A relaxed structure of PrSm4In5, computed with GGA-PBE.

Lattice parameters (Å, degrees): 3.8469 3.8469 19.2128 90.00 90.00 90.00
Sites, in units of the cell vectors:
In 0.5000 0.5000 0.3022
In 0.5000 0.5000 0.1047
In 0.5000 0.5000 0.5000
In 0.5000 0.5000 0.8953
In 0.5000 0.5000 0.6978
Sm 0.0000 0.0000 0.7969
Sm 0.0000 0.0000 0.2031
Sm 0.0000 0.0000 0.4011
Sm 0.0000 0.0000 0.5989
Pr 0.0000 0.0000 0.0000

E	-4.227	eV per atom
calculated volume	284	Å³/cell
magnetic moment	0.00	μB/cell
SG	P4/mmm

# 4
A relaxed structure of Pr3Sm3In, computed with GGA-PBE.

Lattice parameters (Å, degrees): 5.2946 13.7041 13.0325 90.00 90.00 90.00
Sites, in units of the cell vectors:
Pr 0.7500 0.6758 0.7797
Pr 0.7500 0.1758 0.7203
Pr 0.2500 0.8107 0.8882
Pr 0.7500 0.9100 0.6939
Pr 0.2500 0.0900 0.3061
Pr 0.7500 0.6893 0.3882
Pr 0.2500 0.3242 0.2203
Pr 0.2500 0.8242 0.2797
Pr 0.7500 0.4100 0.8061
Pr 0.2500 0.5900 0.1939
Pr 0.2500 0.3107 0.6118
Pr 0.7500 0.1893 0.1118
Sm 0.2500 0.2661 0.9281
Sm 0.7500 0.4853 0.5658
Sm 0.7500 0.4446 0.0685
Sm 0.7500 0.7339 0.0719
Sm 0.2500 0.0147 0.0658
Sm 0.7500 0.2339 0.4281
Sm 0.2500 0.5147 0.4342
Sm 0.7500 0.9853 0.9342
Sm 0.7500 0.9446 0.4315
Sm 0.2500 0.7661 0.5719
Sm 0.2500 0.0554 0.5685
Sm 0.2500 0.5554 0.9315
In 0.7500 0.9544 0.1884
In 0.2500 0.0456 0.8116
In 0.7500 0.4544 0.3116
In 0.2500 0.5456 0.6884

E	-4.500	eV per atom
calculated volume	946	Å³/cell
magnetic moment	0.00	μB/cell
SG	Pnma
offset from the most stable computed form	52	meV/atom